Record 1
Material: ErI4
Method: DFT, PBE-GGA
State: optimized geometry

DFT total energy: -64.5 eV for the cell shown

Geometry as CIF:
```
data_ErI4
_cell_length_a 7.739
_cell_length_b 13.208
_cell_length_c 10.164
_cell_angle_alpha 90.00
_cell_angle_beta 97.58
_cell_angle_gamma 90.00
_symmetry_space_group_name_H-M 'C 1 2/m 1'
_symmetry_Int_Tables_number 12
_symmetry_space_group_name_Hall '-C 2y'
loop_
_atom_site_label
_atom_site_fract_x
_atom_site_fract_y
_atom_site_fract_z
Er1 0.000 0.172 0.000
I1 0.101 0.000 0.827
I2 0.150 0.500 0.443
I3 0.156 0.318 0.822
```

***

Record 2
Material: BaNdAgTeSe2
Method: DFT, PBE-GGA
State: optimized geometry

DFT total energy: -113.1 eV for the cell shown

Geometry as CIF:
```
data_BaNdAgTeSe2
_cell_length_a 4.374
_cell_length_b 14.950
_cell_length_c 11.490
_cell_angle_alpha 90.00
_cell_angle_beta 90.00
_cell_angle_gamma 90.00
_symmetry_space_group_name_H-M 'C m c m'
_symmetry_Int_Tables_number 63
_symmetry_space_group_name_Hall '-C 2c 2'
loop_
_atom_site_label
_atom_site_fract_x
_atom_site_fract_y
_atom_site_fract_z
Ba1 0.000 0.227 0.250
Nd1 0.000 0.000 0.000
Ag1 0.000 0.476 0.750
Te1 0.000 0.094 0.750
Se1 0.000 0.370 0.564
```

***

Record 3
Material: Tb2NdPd3Pb3
Method: DFT, PBE-GGA
State: optimized geometry

DFT total energy: -94.4 eV for the cell shown

Geometry as CIF:
```
data_Tb2NdPd3Pb3
_cell_length_a 3.914
_cell_length_b 13.691
_cell_length_c 7.875
_cell_angle_alpha 90.00
_cell_angle_beta 90.00
_cell_angle_gamma 90.00
_symmetry_space_group_name_H-M 'A m m 2'
_symmetry_Int_Tables_number 38
_symmetry_space_group_name_Hall 'A 2 -2'
loop_
_atom_site_label
_atom_site_fract_x
_atom_site_fract_y
_atom_site_fract_z
Tb1 0.000 0.201 0.000
Nd1 0.000 0.000 0.397
Pd1 0.000 0.000 0.802
Pd2 0.500 0.169 0.298
Pb1 0.500 0.000 0.062
Pb2 0.500 0.133 0.670
```

***

Record 4
Material: Pr2Zn5Ni5
Method: DFT, PBE-GGA
State: optimized geometry

ΔE_f: -362 meV per atom
DFT total energy: -48.1 eV for the cell shown

Geometry as CIF:
```
data_Pr2Zn5Ni5
_cell_length_a 4.065
_cell_length_b 5.230
_cell_length_c 8.975
_cell_angle_alpha 90.00
_cell_angle_beta 90.00
_cell_angle_gamma 90.00
_symmetry_space_group_name_H-M 'P m m m'
_symmetry_Int_Tables_number 47
_symmetry_space_group_name_Hall '-P 2 2'
loop_
_atom_site_label
_atom_site_fract_x
_atom_site_fract_y
_atom_site_fract_z
Pr1 0.000 0.000 0.000
Pr2 0.000 0.500 0.500
Zn1 0.500 0.000 0.500
Zn2 0.500 0.253 0.244
Ni1 0.000 0.000 0.333
Ni2 0.000 0.500 0.159
Ni3 0.500 0.500 0.000
```

***

Record 5
Material: HgPtNO
Method: DFT, PBE-GGA
State: optimized geometry

energy above the most stable polymorph in this dataset: 11.09 kJ/mol of atoms
DFT total energy: -34.2 eV for the cell shown

Geometry as CIF:
```
data_HgPtNO
_cell_length_a 3.376
_cell_length_b 6.103
_cell_length_c 6.266
_cell_angle_alpha 90.00
_cell_angle_beta 90.00
_cell_angle_gamma 90.00
_symmetry_space_group_name_H-M 'P m c 21'
_symmetry_Int_Tables_number 26
_symmetry_space_group_name_Hall 'P 2c -2'
loop_
_atom_site_label
_atom_site_fract_x
_atom_site_fract_y
_atom_site_fract_z
Hg1 0.000 0.173 0.000
Pt1 0.500 0.328 0.535
N1 0.000 0.195 0.622
O1 0.500 0.368 0.212
```

***

Record 6
Material: ErTmNi
Method: DFT, PBE-GGA
State: optimized geometry

energy above the most stable polymorph in this dataset: 0.00 kJ/mol of atoms
ΔE_f: -197 meV per atom
DFT total energy: -60.8 eV for the cell shown

Geometry as CIF:
```
data_ErTmNi
_cell_length_a 6.613
_cell_length_b 6.613
_cell_length_c 6.613
_cell_angle_alpha 90.00
_cell_angle_beta 90.00
_cell_angle_gamma 90.00
_symmetry_space_group_name_H-M 'F -4 3 m'
_symmetry_Int_Tables_number 216
_symmetry_space_group_name_Hall 'F -4 2 3'
loop_
_atom_site_label
_atom_site_fract_x
_atom_site_fract_y
_atom_site_fract_z
Er1 0.000 0.000 0.000
Tm1 0.000 0.000 0.500
Ni1 0.250 0.250 0.250
```

***

Copy entry 4 word for word.
Material: Pr2Zn5Ni5
Method: DFT, PBE-GGA
State: optimized geometry

ΔE_f: -362 meV per atom
DFT total energy: -48.1 eV for the cell shown

Geometry as CIF:
```
data_Pr2Zn5Ni5
_cell_length_a 4.065
_cell_length_b 5.230
_cell_length_c 8.975
_cell_angle_alpha 90.00
_cell_angle_beta 90.00
_cell_angle_gamma 90.00
_symmetry_space_group_name_H-M 'P m m m'
_symmetry_Int_Tables_number 47
_symmetry_space_group_name_Hall '-P 2 2'
loop_
_atom_site_label
_atom_site_fract_x
_atom_site_fract_y
_atom_site_fract_z
Pr1 0.000 0.000 0.000
Pr2 0.000 0.500 0.500
Zn1 0.500 0.000 0.500
Zn2 0.500 0.253 0.244
Ni1 0.000 0.000 0.333
Ni2 0.000 0.500 0.159
Ni3 0.500 0.500 0.000
```